No. 1
Material: Mg3Zn4Ga4
Method: DFT, PBE
State: optimized geometry

Results
Formation enthalpy at 0 K   -0.08 eV per atom
Calculated volume   196.5 Å³/f.u.
Size of the total moment   0.000 μB/cell
Final energy   -22.860 eV per cell

Cell lengths 3.239, 4.514, 13.706 Å; angles 99.30, 96.34, 90.15 degrees
Space group P-1 (No. 2)
One atom of each set of equivalent atoms:
Mg 0.000 0.000 0.000 (multiplicity 1)
Mg 0.138 0.639 0.280 (multiplicity 2)
Zn 0.265 0.264 0.529 (multiplicity 2)
Zn 0.412 0.910 0.818 (multiplicity 2)
Ga 0.313 0.816 0.630 (multiplicity 2)
Ga 0.455 0.453 0.904 (multiplicity 2)

=====

No. 2
Material: MgZn3Ga6
Method: DFT, PBE
State: optimized geometry

Results
Formation enthalpy at 0 K   0.00 eV per atom
Calculated volume   181.1 Å³/f.u.
Size of the total moment   0.000 μB/cell
Final energy   -94.140 eV per cell

Cell lengths 8.159, 13.271, 6.690 Å; angles 90.00, 90.00, 90.00 degrees
Space group Cmc2_1 (No. 36)
One atom of each set of equivalent atoms:
Mg 0.000 0.177 0.000 (multiplicity 4)
Zn 0.000 0.392 0.087 (multiplicity 4)
Zn 0.174 0.128 0.636 (multiplicity 8)
Ga 0.000 0.031 0.321 (multiplicity 4)
Ga 0.000 0.262 0.402 (multiplicity 4)
Ga 0.180 0.453 0.457 (multiplicity 8)
Ga 0.194 0.325 0.767 (multiplicity 8)

=====

No. 3
Material: Mg2Zn6Ga
Method: DFT, PBE
State: optimized geometry

Results
Formation enthalpy at 0 K   -0.04 eV per atom
Calculated volume   153.8 Å³/f.u.
Size of the total moment   0.000 μB/cell
Final energy   -14.237 eV per cell

Cell lengths 5.3484, 5.3484, 6.2075 Å; angles 90.00, 90.00, 120.00 degrees
Space group P-3m1 (No. 164)
One atom of each set of equivalent atoms:
Mg 0.3333 0.6667 0.3890 (multiplicity 2)
Zn 0.1735 0.3471 0.8321 (multiplicity 6)
Ga 0.0000 0.0000 0.5000 (multiplicity 1)

=====

No. 4
Material: MgZn2Ga
Method: DFT, PBE
State: optimized geometry

Results
Formation enthalpy at 0 K   0.03 eV per atom
Calculated volume   72.3 Å³/f.u.
Size of the total moment   0.000 μB/cell
Final energy   -21.133 eV per cell

Cell lengths 3.1117, 3.1117, 25.8774 Å; angles 90.00, 90.00, 120.00 degrees
Space group R3m (No. 160, hexagonal axes)
One atom of each set of equivalent atoms:
Mg 0.0000 0.0000 0.0000 (multiplicity 3)
Zn 0.0000 0.0000 0.4188 (multiplicity 3)
Zn 0.0000 0.0000 0.5803 (multiplicity 3)
Ga 0.0000 0.0000 0.1661 (multiplicity 3)

=====

No. 5
Material: MgZn3Ga
Method: DFT, PBE
State: optimized geometry

Results
Formation enthalpy at 0 K   0.61 eV per atom
Calculated volume   129.5 Å³/f.u.
Size of the total moment   0.000 μB/cell
Energy above the most stable polymorph in this dataset   3.22 eV/f.u.
Final energy   -5.406 eV per cell

Cell lengths 5.059, 5.059, 5.059 Å; angles 90.00, 90.00, 90.00 degrees
Space group Pm-3m (No. 221)
One atom of each set of equivalent atoms:
Mg 0.000 0.000 0.000 (multiplicity 1)
Zn 0.000 0.000 0.500 (multiplicity 3)
Ga 0.500 0.500 0.500 (multiplicity 1)

=====

No. 6
Material: Mg3ZnGa12
Method: DFT, PBE
State: optimized geometry

Results
Formation enthalpy at 0 K   -0.06 eV per atom
Calculated volume   294.4 Å³/f.u.
Size of the total moment   0.000 μB/cell
Final energy   -43.364 eV per cell

Cell lengths 4.268, 4.268, 16.161 Å; angles 90.00, 90.00, 90.00 degrees
Space group P4/mmm (No. 123)
One atom of each set of equivalent atoms:
Mg 0.000 0.000 0.000 (multiplicity 1)
Mg 0.000 0.000 0.252 (multiplicity 2)
Zn 0.000 0.000 0.500 (multiplicity 1)
Ga 0.000 0.500 0.126 (multiplicity 4)
Ga 0.000 0.500 0.379 (multiplicity 4)
Ga 0.500 0.500 0.000 (multiplicity 1)
Ga 0.500 0.500 0.251 (multiplicity 2)
Ga 0.500 0.500 0.500 (multiplicity 1)

=====

No. 7
Material: MgZn2Ga2
Method: DFT, PBE
State: optimized geometry

Results
Formation enthalpy at 0 K   0.04 eV per atom
Calculated volume   92.4 Å³/f.u.
Size of the total moment   0.000 μB/cell
Energy above the most stable polymorph in this dataset   0.36 eV/f.u.
Final energy   -20.026 eV per cell

Cell lengths 7.262, 7.262, 3.503 Å; angles 90.00, 90.00, 90.00 degrees
Space group P4/mbm (No. 127)
One atom of each set of equivalent atoms:
Mg 0.000 0.000 0.000 (multiplicity 2)
Zn 0.175 0.325 0.500 (multiplicity 4)
Ga 0.128 0.628 0.000 (multiplicity 4)

=====

No. 8
Material: MgZn6Ga8
Method: DFT, PBE
State: optimized geometry

Results
Formation enthalpy at 0 K   0.05 eV per atom
Calculated volume   283.9 Å³/f.u.
Size of the total moment   0.000 μB/cell
Energy above the most stable polymorph in this dataset   0.00 eV/f.u.
Final energy   -98.301 eV per cell

Cell lengths 7.5022, 7.5022, 17.4719 Å; angles 90.00, 90.00, 120.00 degrees
Space group R-3 (No. 148, hexagonal axes)
One atom of each set of equivalent atoms:
Mg 0.0000 0.0000 0.0000 (multiplicity 3)
Zn 0.0088 0.3552 0.9341 (multiplicity 18)
Ga 0.0000 0.0000 0.3370 (multiplicity 6)
Ga 0.0098 0.3205 0.1130 (multiplicity 18)

=====

No. 9
Material: Mg6ZnGa2
Method: DFT, PBE
State: optimized geometry

Results
Formation enthalpy at 0 K   -0.06 eV per atom
Calculated volume   181.8 Å³/f.u.
Size of the total moment   0.000 μB/cell
Energy above the most stable polymorph in this dataset   0.00 eV/f.u.
Final energy   -34.813 eV per cell

Cell lengths 8.606, 4.758, 8.924 Å; angles 90.00, 95.82, 90.00 degrees
Space group C2/m (No. 12)
One atom of each set of equivalent atoms:
Mg 0.003 0.000 0.185 (multiplicity 4)
Mg 0.165 0.500 0.401 (multiplicity 4)
Mg 0.168 0.500 0.056 (multiplicity 4)
Zn 0.000 0.000 0.500 (multiplicity 2)
Ga 0.169 0.500 0.733 (multiplicity 4)

=====

No. 10
Material: MgZn3Ga
Method: DFT, PBE
State: optimized geometry

Results
Formation enthalpy at 0 K   -0.04 eV per atom
Calculated volume   86.3 Å³/f.u.
Size of the total moment   0.000 μB/cell
Energy above the most stable polymorph in this dataset   0.00 eV/f.u.
Final energy   -17.257 eV per cell

Cell lengths 5.323, 5.253, 6.177 Å; angles 90.00, 91.94, 90.00 degrees
Space group P2_1/m (No. 11)
One atom of each set of equivalent atoms:
Mg 0.132 0.250 0.363 (multiplicity 2)
Zn 0.353 0.002 0.820 (multiplicity 4)
Zn 0.368 0.750 0.456 (multiplicity 2)
Ga 0.085 0.750 0.108 (multiplicity 2)

=====

No. 11
Material: Mg4Zn3Ga5
Method: DFT, PBE
State: optimized geometry

Results
Formation enthalpy at 0 K   0.00 eV per atom
Calculated volume   233.0 Å³/f.u.
Size of the total moment   0.000 μB/cell
Final energy   -50.649 eV per cell

Cell lengths 13.125, 5.098, 7.658 Å; angles 90.00, 114.55, 90.00 degrees
Space group C2/m (No. 12)
One atom of each set of equivalent atoms:
Mg 0.078 0.000 0.412 (multiplicity 4)
Mg 0.182 0.000 0.858 (multiplicity 4)
Zn 0.000 0.000 0.000 (multiplicity 2)
Zn 0.053 0.500 0.687 (multiplicity 4)
Ga 0.000 0.500 0.000 (multiplicity 2)
Ga 0.184 0.500 0.364 (multiplicity 4)
Ga 0.232 0.000 0.248 (multiplicity 4)

=====

No. 12
Material: Mg4ZnGa2
Method: DFT, PBE
State: optimized geometry

Results
Formation enthalpy at 0 K   -0.07 eV per atom
Calculated volume   141.0 Å³/f.u.
Size of the total moment   0.000 μB/cell
Energy above the most stable polymorph in this dataset   0.11 eV/f.u.
Final energy   -56.804 eV per cell

Cell lengths 4.518, 8.704, 14.348 Å; angles 90.00, 90.00, 90.00 degrees
Space group Cmcm (No. 63)
One atom of each set of equivalent atoms:
Mg 0.000 0.000 0.000 (multiplicity 4)
Mg 0.000 0.323 0.250 (multiplicity 4)
Mg 0.000 0.362 0.643 (multiplicity 8)
Zn 0.000 0.002 0.250 (multiplicity 4)
Ga 0.000 0.312 0.055 (multiplicity 8)